Density functional theory data (PBE+U) for a geometry-optimized VCuCO5 structure.

Cell and atoms, written as POSCAR:
```
VCuCO5
1.0
5.054 0.398 -0.093
-1.095 4.950 -0.093
-1.766 -2.386 6.385
V Cu C O
2 2 2 10
Cartesian
-0.883 -1.193 3.192 V
0.000 0.000 0.000 V
0.569 2.795 1.503 Cu
1.624 0.167 4.695 Cu
2.608 1.285 1.503 C
-0.415 1.677 4.695 C
-0.964 3.930 1.503 O
3.157 -0.968 4.695 O
3.716 1.550 0.758 O
-1.523 1.412 5.440 O
2.678 0.149 2.248 O
-0.485 2.813 3.950 O
2.264 2.422 2.340 O
-0.071 0.540 3.858 O
1.421 1.282 0.666 O
0.772 1.680 5.533 O
```

Values from the calculation:
N(E_F) (states/eV/cell): 1.52
Space group: C2/c, No. 15
Electronic total energy (eV/atom): -6.873